(1)
Entry from Alexandria: SrHI2O after structural relaxation (PBE-GGA).

Summary:
The value obtained for the energy above the lowest structure with this stoichiometry is 0 meV per atom. The raw total energy comes out at -14.04 eV/cell.

Geometry as CIF:
```
data_SrHI2O
_chemical_formula_sum 'Sr1 H1 I2 O1'
_cell_length_a 5.567
_cell_length_b 5.567
_cell_length_c 3.693
_cell_angle_alpha 90.00
_cell_angle_beta 90.00
_cell_angle_gamma 90.00
_space_group_name_H-M_alt 'P 1'
_space_group_IT_number 1
loop_
_space_group_symop_operation_xyz
'x,y,z'
loop_
_atom_site_label
_atom_site_fract_x
_atom_site_fract_y
_atom_site_fract_z
Sr1 0.500 0.500 0.500
H1 0.000 0.000 0.000
I1 0.500 0.000 0.000
I2 0.000 0.500 0.000
O1 0.000 0.000 0.500
```

***

(2)
Entry from Alexandria: AcPmPr2Sm2 after structural relaxation (PBE-GGA).

Summary:
The raw total energy comes out at -55.07 eV/cell. Its formation energy is 54 meV/atom.

Geometry as CIF:
```
data_AcPmPr2Sm2
_chemical_formula_sum 'Ac2 Pm2 Pr4 Sm4'
_cell_length_a 5.871
_cell_length_b 7.316
_cell_length_c 10.125
_cell_angle_alpha 90.00
_cell_angle_beta 90.00
_cell_angle_gamma 90.00
_space_group_name_H-M_alt 'P 1'
_space_group_IT_number 1
loop_
_space_group_symop_operation_xyz
'x,y,z'
loop_
_atom_site_label
_atom_site_fract_x
_atom_site_fract_y
_atom_site_fract_z
Sm1 0.500 0.257 0.330
Sm2 0.000 0.758 0.165
Sm3 0.500 0.757 0.670
Pm1 0.500 0.757 0.331
Ac1 0.000 0.007 0.500
Sm4 0.000 0.258 0.835
Ac2 0.000 0.507 0.500
Pr1 0.000 0.758 0.836
Pr2 0.500 0.508 0.000
Pm2 0.500 0.257 0.669
Pr3 0.000 0.258 0.164
Pr4 0.500 0.008 0.000
```

***

(3)
Entry from Alexandria: LaAg2 after structural relaxation (PBE-GGA).

Summary:
The raw total energy comes out at -44.96 eV/cell. Its formation energy is -204 meV/atom.

Geometry as CIF:
```
data_LaAg2
_chemical_formula_sum 'La4 Ag8'
_cell_length_a 6.328
_cell_length_b 5.518
_cell_length_c 8.689
_cell_angle_alpha 90.00
_cell_angle_beta 90.00
_cell_angle_gamma 90.00
_space_group_name_H-M_alt 'P 1'
_space_group_IT_number 1
loop_
_space_group_symop_operation_xyz
'x,y,z'
loop_
_atom_site_label
_atom_site_fract_x
_atom_site_fract_y
_atom_site_fract_z
Ag1 0.307 0.750 0.042
Ag2 0.042 0.750 0.741
La1 0.802 0.750 0.097
Ag3 0.693 0.250 0.958
Ag4 0.807 0.750 0.458
Ag5 0.193 0.250 0.542
Ag6 0.458 0.250 0.241
Ag7 0.958 0.250 0.259
La2 0.302 0.750 0.403
Ag8 0.542 0.750 0.759
La3 0.698 0.250 0.597
La4 0.198 0.250 0.903
```

***

(4)
Entry from Alexandria: Zr2InCuRu after structural relaxation (PBE-GGA).

Summary:
The raw total energy comes out at -26.38 eV/cell. Its formation energy is 1366 meV/atom.

Geometry as CIF:
```
data_Zr2InCuRu
_chemical_formula_sum 'Zr2 In1 Cu1 Ru1'
_cell_length_a 5.266
_cell_length_b 4.492
_cell_length_c 5.266
_cell_angle_alpha 90.00
_cell_angle_beta 90.00
_cell_angle_gamma 90.00
_space_group_name_H-M_alt 'P 1'
_space_group_IT_number 1
loop_
_space_group_symop_operation_xyz
'x,y,z'
loop_
_atom_site_label
_atom_site_fract_x
_atom_site_fract_y
_atom_site_fract_z
Zr1 0.000 0.000 0.500
In1 0.000 0.000 0.000
Zr2 0.500 0.000 0.000
Ru1 0.500 0.500 0.500
Cu1 0.000 0.500 0.000
```

***

(5)
Entry from Alexandria: PmHoIn after structural relaxation (PBE-GGA).

Summary:
The value obtained for the energy above the lowest structure with this stoichiometry is 501 meV per atom. The raw total energy comes out at -46.40 eV/cell. Its formation energy is 155 meV/atom.

Geometry as CIF:
```
data_PmHoIn
_chemical_formula_sum 'Pm4 Ho4 In4'
_cell_length_a 8.150
_cell_length_b 8.150
_cell_length_c 8.977
_cell_angle_alpha 97.77
_cell_angle_beta 97.77
_cell_angle_gamma 134.59
_space_group_name_H-M_alt 'P 1'
_space_group_IT_number 1
loop_
_space_group_symop_operation_xyz
'x,y,z'
loop_
_atom_site_label
_atom_site_fract_x
_atom_site_fract_y
_atom_site_fract_z
Pm1 0.753 0.753 0.000
Ho1 0.466 0.966 0.932
Ho2 0.034 0.534 0.068
Pm2 0.497 0.997 0.500
In1 0.625 0.375 0.250
Ho3 0.216 0.216 0.432
In2 0.125 0.375 0.750
In3 0.625 0.375 0.750
Pm3 0.003 0.503 0.500
Ho4 0.784 0.784 0.568
In4 0.625 0.875 0.250
Pm4 0.247 0.247 0.000
```

***

(6)
Entry from Alexandria: KCaCd2 after structural relaxation (PBE-GGA).

Summary:
The value obtained for the energy above the lowest structure with this stoichiometry is 58 meV per atom. The raw total energy comes out at -5.27 eV/cell. Its formation energy is -86 meV/atom.

Geometry as CIF:
```
data_KCaCd2
_chemical_formula_sum 'K1 Ca1 Cd2'
_cell_length_a 6.597
_cell_length_b 6.597
_cell_length_c 5.928
_cell_angle_alpha 72.53
_cell_angle_beta 72.53
_cell_angle_gamma 31.82
_space_group_name_H-M_alt 'P 1'
_space_group_IT_number 1
loop_
_space_group_symop_operation_xyz
'x,y,z'
loop_
_atom_site_label
_atom_site_fract_x
_atom_site_fract_y
_atom_site_fract_z
Cd1 0.025 0.025 0.024
Cd2 0.720 0.720 0.734
K1 0.478 0.478 0.552
Ca1 0.278 0.278 0.190
```

***

(7)
Entry from Alexandria: BaTeI3 after structural relaxation (PBE-GGA).

Summary:
The value obtained for the energy above the lowest structure with this stoichiometry is 66 meV per atom. The raw total energy comes out at -12.24 eV/cell. The formation energy without anion corrections is -505 meV per atom.

Geometry as CIF:
```
data_BaTeI3
_chemical_formula_sum 'Ba1 Te1 I3'
_cell_length_a 6.751
_cell_length_b 6.751
_cell_length_c 6.751
_cell_angle_alpha 90.00
_cell_angle_beta 90.00
_cell_angle_gamma 90.00
_space_group_name_H-M_alt 'P 1'
_space_group_IT_number 1
loop_
_space_group_symop_operation_xyz
'x,y,z'
loop_
_atom_site_label
_atom_site_fract_x
_atom_site_fract_y
_atom_site_fract_z
Te1 0.500 0.500 0.500
I1 0.000 0.000 0.500
I2 0.000 0.500 0.000
I3 0.500 0.000 0.000
Ba1 0.000 0.000 0.000
```

***

(8)
Entry from Alexandria: FeHgPb2 after structural relaxation (PBE-GGA).

Summary:
The raw total energy comes out at -26.35 eV/cell. Its formation energy is 752 meV/atom.

Geometry as CIF:
```
data_FeHgPb2
_chemical_formula_sum 'Fe2 Hg2 Pb4'
_cell_length_a 6.217
_cell_length_b 6.217
_cell_length_c 8.251
_cell_angle_alpha 67.87
_cell_angle_beta 67.87
_cell_angle_gamma 90.00
_space_group_name_H-M_alt 'P 1'
_space_group_IT_number 1
loop_
_space_group_symop_operation_xyz
'x,y,z'
loop_
_atom_site_label
_atom_site_fract_x
_atom_site_fract_y
_atom_site_fract_z
Fe1 0.500 0.500 0.000
Pb1 0.240 0.625 0.250
Pb2 0.510 0.125 0.250
Hg1 0.000 0.000 0.000
Fe2 0.250 0.750 0.500
Hg2 0.750 0.250 0.500
Pb3 0.375 0.490 0.750
Pb4 0.875 0.760 0.750
```

***

(9)
Entry from Alexandria: BaLiTlSi2 after structural relaxation (PBE-GGA).

Summary:
The raw total energy comes out at -13.12 eV/cell. The formation energy without anion corrections is 785 meV per atom.

Geometry as CIF:
```
data_BaLiTlSi2
_chemical_formula_sum 'Ba1 Li1 Tl1 Si2'
_cell_length_a 5.397
_cell_length_b 6.221
_cell_length_c 5.397
_cell_angle_alpha 90.00
_cell_angle_beta 90.00
_cell_angle_gamma 90.00
_space_group_name_H-M_alt 'P 1'
_space_group_IT_number 1
loop_
_space_group_symop_operation_xyz
'x,y,z'
loop_
_atom_site_label
_atom_site_fract_x
_atom_site_fract_y
_atom_site_fract_z
Ba1 0.000 0.500 0.000
Li1 0.500 0.500 0.500
Tl1 0.000 0.000 0.000
Si1 0.500 0.000 0.000
Si2 0.000 0.000 0.500
```

***

(10)
Entry from Alexandria: Ac6In3Pd after structural relaxation (PBE-GGA).

Summary:
The raw total energy comes out at -82.43 eV/cell. Its formation energy is -316 meV/atom.

Geometry as CIF:
```
data_Ac6In3Pd
_chemical_formula_sum 'Ac12 In6 Pd2'
_cell_length_a 7.056
_cell_length_b 9.567
_cell_length_c 11.405
_cell_angle_alpha 90.00
_cell_angle_beta 86.34
_cell_angle_gamma 90.00
_space_group_name_H-M_alt 'P 1'
_space_group_IT_number 1
loop_
_space_group_symop_operation_xyz
'x,y,z'
loop_
_atom_site_label
_atom_site_fract_x
_atom_site_fract_y
_atom_site_fract_z
Ac1 0.365 0.838 0.059
In1 0.912 0.388 0.762
Ac2 0.113 0.309 0.066
Pd1 0.000 0.000 0.000
Ac3 0.613 0.191 0.566
Ac4 0.852 0.940 0.237
In2 0.588 0.888 0.738
Ac5 0.135 0.338 0.441
Ac6 0.148 0.060 0.763
Ac7 0.648 0.440 0.263
Ac8 0.635 0.162 0.941
In3 0.412 0.112 0.262
Ac9 0.887 0.691 0.934
In4 0.000 0.000 0.500
Ac10 0.352 0.560 0.737
Ac11 0.387 0.809 0.434
Pd2 0.500 0.500 0.500
In5 0.500 0.500 0.000
In6 0.088 0.612 0.238
Ac12 0.865 0.662 0.559
```

***

(11)
Entry from Alexandria: Y2CdRuPt after structural relaxation (PBE-GGA).

Summary:
The raw total energy comes out at -24.62 eV/cell. Its formation energy is 907 meV/atom.

Geometry as CIF:
```
data_Y2CdRuPt
_chemical_formula_sum 'Y2 Cd1 Ru1 Pt1'
_cell_length_a 5.439
_cell_length_b 4.740
_cell_length_c 5.439
_cell_angle_alpha 90.00
_cell_angle_beta 90.00
_cell_angle_gamma 90.00
_space_group_name_H-M_alt 'P 1'
_space_group_IT_number 1
loop_
_space_group_symop_operation_xyz
'x,y,z'
loop_
_atom_site_label
_atom_site_fract_x
_atom_site_fract_y
_atom_site_fract_z
Pt1 0.500 0.500 0.500
Y1 0.000 0.000 0.500
Cd1 0.000 0.000 0.000
Y2 0.500 0.000 0.000
Ru1 0.000 0.500 0.000
```

***

(12)
Entry from Alexandria: Ir6Ru2Rh after structural relaxation (PBE-GGA).

Summary:
The value obtained for the energy above the lowest structure with this stoichiometry is 0 meV per atom. The raw total energy comes out at -152.92 eV/cell. Its formation energy is 290 meV/atom.

Geometry as CIF:
```
data_Ir6Ru2Rh
_chemical_formula_sum 'Ir12 Ru4 Rh2'
_cell_length_a 5.293
_cell_length_b 4.297
_cell_length_c 14.809
_cell_angle_alpha 125.51
_cell_angle_beta 90.00
_cell_angle_gamma 90.00
_space_group_name_H-M_alt 'P 1'
_space_group_IT_number 1
loop_
_space_group_symop_operation_xyz
'x,y,z'
loop_
_atom_site_label
_atom_site_fract_x
_atom_site_fract_y
_atom_site_fract_z
Ru1 0.393 0.089 0.794
Ru2 0.893 0.411 0.706
Ir1 0.894 0.174 0.837
Ir2 0.369 0.230 0.115
Ir3 0.631 0.770 0.885
Ru3 0.607 0.911 0.206
Ru4 0.107 0.589 0.294
Rh1 0.000 0.000 0.500
Ir4 0.860 0.181 0.091
Ir5 0.640 0.681 0.591
Ir6 0.140 0.819 0.909
Ir7 0.360 0.319 0.409
Ir8 0.131 0.730 0.615
Ir9 0.606 0.674 0.337
Ir10 0.394 0.326 0.663
Ir11 0.106 0.826 0.163
Rh2 0.500 0.500 0.000
Ir12 0.869 0.270 0.385
```

***

(13)
Entry from Alexandria: Ac12PaIr7 after structural relaxation (PBE-GGA).

Summary:
The raw total energy comes out at -132.54 eV/cell. Its formation energy is -586 meV/atom.

Geometry as CIF:
```
data_Ac12PaIr7
_chemical_formula_sum 'Ac12 Pa1 Ir7'
_cell_length_a 9.538
_cell_length_b 9.538
_cell_length_c 9.538
_cell_angle_alpha 107.21
_cell_angle_beta 107.21
_cell_angle_gamma 107.21
_space_group_name_H-M_alt 'P 1'
_space_group_IT_number 1
loop_
_space_group_symop_operation_xyz
'x,y,z'
loop_
_atom_site_label
_atom_site_fract_x
_atom_site_fract_y
_atom_site_fract_z
Ac1 0.844 0.630 0.553
Ir1 0.328 0.109 0.025
Ac2 0.782 0.927 0.316
Ir2 0.672 0.891 0.975
Ac3 0.927 0.316 0.782
Ir3 0.025 0.328 0.109
Pa1 0.000 0.000 0.000
Ac4 0.553 0.844 0.630
Ac5 0.630 0.553 0.844
Ac6 0.073 0.684 0.218
Ac7 0.218 0.073 0.684
Ir4 0.891 0.975 0.672
Ac8 0.447 0.156 0.370
Ir5 0.975 0.672 0.891
Ac9 0.316 0.782 0.927
Ir6 0.500 0.500 0.500
Ac10 0.370 0.447 0.156
Ac11 0.684 0.218 0.073
Ir7 0.109 0.025 0.328
Ac12 0.156 0.370 0.447
```

***

(14)
Entry from Alexandria: CuAg2HAu after structural relaxation (PBE-GGA).

Summary:
The raw total energy comes out at -15.70 eV/cell.

Geometry as CIF:
```
data_CuAg2HAu
_chemical_formula_sum 'Cu1 Ag2 H1 Au1'
_cell_length_a 4.257
_cell_length_b 4.257
_cell_length_c 3.831
_cell_angle_alpha 90.00
_cell_angle_beta 90.00
_cell_angle_gamma 90.00
_space_group_name_H-M_alt 'P 1'
_space_group_IT_number 1
loop_
_space_group_symop_operation_xyz
'x,y,z'
loop_
_atom_site_label
_atom_site_fract_x
_atom_site_fract_y
_atom_site_fract_z
H1 0.000 0.000 0.000
Ag1 0.000 0.500 0.000
Cu1 0.000 0.000 0.500
Au1 0.500 0.500 0.500
Ag2 0.500 0.000 0.000
```

***

(15)
Entry from Alexandria: Sm5TmTl2 after structural relaxation (PBE-GGA).

Summary:
The value obtained for the energy above the lowest structure with this stoichiometry is 0 meV per atom. The raw total energy comes out at -33.56 eV/cell. Its formation energy is -95 meV/atom.

Geometry as CIF:
```
data_Sm5TmTl2
_chemical_formula_sum 'Sm5 Tm1 Tl2'
_cell_length_a 3.641
_cell_length_b 8.493
_cell_length_c 8.493
_cell_angle_alpha 80.04
_cell_angle_beta 77.62
_cell_angle_gamma 77.62
_space_group_name_H-M_alt 'P 1'
_space_group_IT_number 1
loop_
_space_group_symop_operation_xyz
'x,y,z'
loop_
_atom_site_label
_atom_site_fract_x
_atom_site_fract_y
_atom_site_fract_z
Sm1 0.364 0.860 0.413
Sm2 0.636 0.140 0.587
Tl1 0.274 0.226 0.226
Tl2 0.726 0.774 0.774
Tm1 0.000 0.000 0.000
Sm3 0.636 0.587 0.140
Sm4 0.364 0.413 0.860
Sm5 0.000 0.500 0.500
```

***

(16)
Entry from Alexandria: Ba4Na3O2 after structural relaxation (PBE-GGA).

Summary:
The raw total energy comes out at -31.52 eV/cell. The formation energy without anion corrections is -1106 meV per atom.

Geometry as CIF:
```
data_Ba4Na3O2
_chemical_formula_sum 'Ba4 Na3 O2'
_cell_length_a 4.410
_cell_length_b 8.470
_cell_length_c 11.066
_cell_angle_alpha 102.98
_cell_angle_beta 90.00
_cell_angle_gamma 105.09
_space_group_name_H-M_alt 'P 1'
_space_group_IT_number 1
loop_
_space_group_symop_operation_xyz
'x,y,z'
loop_
_atom_site_label
_atom_site_fract_x
_atom_site_fract_y
_atom_site_fract_z
Ba1 0.148 0.297 0.459
Ba2 0.710 0.420 0.167
O1 0.292 0.585 0.616
Na1 0.435 0.870 0.227
Na2 0.565 0.130 0.773
Ba3 0.852 0.703 0.541
Na3 0.000 0.000 0.000
O2 0.708 0.415 0.384
Ba4 0.290 0.580 0.833
```

***

(17)
Entry from Alexandria: SmHfTcPd after structural relaxation (PBE-GGA).

Summary:
The raw total energy comes out at -31.73 eV/cell. Its formation energy is -375 meV/atom.

Geometry as CIF:
```
data_SmHfTcPd
_chemical_formula_sum 'Sm1 Hf1 Tc1 Pd1'
_cell_length_a 4.807
_cell_length_b 4.807
_cell_length_c 4.807
_cell_angle_alpha 60.00
_cell_angle_beta 60.00
_cell_angle_gamma 60.00
_space_group_name_H-M_alt 'P 1'
_space_group_IT_number 1
loop_
_space_group_symop_operation_xyz
'x,y,z'
loop_
_atom_site_label
_atom_site_fract_x
_atom_site_fract_y
_atom_site_fract_z
Hf1 0.250 0.250 0.250
Sm1 0.750 0.750 0.750
Tc1 0.500 0.500 0.500
Pd1 0.000 0.000 0.000
```